*1*
This record from the Alexandria database describes a relaxed Li8Pd2Au crystal. The functional is PBE.

As for the crystal system: monoclinic. As for the space-group type: C2/m, No. 12. For the density of states at the Fermi level, the calculation gives 0.341 states/eV per atom.

Lattice parameters (Å, degrees): 4.133 6.192 7.196 107.54 106.69 90.00
Element x y z (fractional)
Li (0.148, 0.200, 0.297)
Li (0.680, 0.912, 0.360)
Pd (0.220, 0.646, 0.439)
Pd (0.780, 0.354, 0.561)
Li (0.958, 0.258, 0.915)
Li (0.392, 0.547, 0.785)
Li (0.852, 0.800, 0.703)
Li (0.608, 0.453, 0.215)
Au (0.500, 0.000, 0.000)
Li (0.042, 0.742, 0.085)
Li (0.320, 0.088, 0.640)

***

*2*
This record from the Alexandria database describes a relaxed Li8Pd2Au crystal. The functional is PBE.

As for the crystal system: monoclinic. As for the space-group type: C2/m, No. 12. For the density of states at the Fermi level, the calculation gives 0.384 states/eV per atom.

Lattice parameters (Å, degrees): 4.567 7.237 6.934 58.54 79.02 68.58
Element x y z (fractional)
Li (0.500, 0.776, 0.448)
Li (0.113, 0.923, 0.760)
Li (0.887, 0.077, 0.240)
Pd (0.000, 0.315, 0.370)
Pd (0.000, 0.685, 0.630)
Li (0.695, 0.621, 0.000)
Li (0.113, 0.683, 0.240)
Li (0.887, 0.317, 0.760)
Au (0.500, 0.000, 0.000)
Li (0.305, 0.379, 0.000)
Li (0.500, 0.224, 0.552)

***

Result of the stability comparison: *1* is the most stable of them.

***

*1*
This record from the Alexandria database describes a relaxed Li4Pd2Au crystal. The functional is PBE.

As for the crystal system: tetragonal. As for the space-group type: I4/mmm, No. 139. For the density of states at the Fermi level, the calculation gives 0.399 states/eV per atom.

Lattice parameters (Å, degrees): 4.804 4.804 5.628 115.26 115.26 90.00
Element x y z (fractional)
Li (0.500, 0.000, 0.000)
Li (0.250, 0.750, 0.500)
Au (0.000, 0.000, 0.000)
Li (0.000, 0.500, 0.000)
Pd (0.346, 0.346, 0.692)
Li (0.750, 0.250, 0.500)
Pd (0.654, 0.654, 0.308)

***

*2*
This record from the Alexandria database describes a relaxed Li4Pd2Au crystal. The functional is PBE.

As for the crystal system: tetragonal. As for the space-group type: I4/mmm, No. 139. For the density of states at the Fermi level, the calculation gives 0.240 states/eV per atom.

Lattice parameters (Å, degrees): 6.180 5.225 5.225 69.54 53.74 53.74
Element x y z (fractional)
Li (0.500, 0.499, 0.000)
Li (0.500, 0.000, 0.501)
Pd (0.500, 0.501, 0.499)
Pd (0.000, 0.500, 0.500)
Li (0.999, 0.000, 0.500)
Li (0.001, 0.500, 0.000)
Au (0.000, 0.000, 0.000)

***

Result of the stability comparison: *2* is the most stable of them.

***

*1*
This record from the Alexandria database describes a relaxed Li2Pd5Au5 crystal. The functional is PBE.

As for the crystal system: monoclinic. As for the space-group type: C2/m, No. 12. For the density of states at the Fermi level, the calculation gives 0.517 states/eV per atom.

Lattice parameters (Å, degrees): 4.009 6.373 8.939 115.46 90.00 108.33
Element x y z (fractional)
Au (0.416, 0.832, 0.748)
Au (0.333, 0.666, 0.001)
Au (0.584, 0.168, 0.252)
Au (0.500, 0.000, 0.500)
Pd (0.748, 0.495, 0.748)
Li (0.918, 0.835, 0.253)
Pd (0.252, 0.505, 0.252)
Pd (0.000, 0.000, 0.000)
Pd (0.834, 0.668, 0.499)
Li (0.082, 0.165, 0.747)
Pd (0.166, 0.332, 0.501)
Au (0.667, 0.334, 0.999)

***

*2*
This record from the Alexandria database describes a relaxed Li2Pd5Au5 crystal. The functional is PBE.

As for the crystal system: monoclinic. As for the space-group type: C2/m, No. 12. For the density of states at the Fermi level, the calculation gives 0.591 states/eV per atom.

Lattice parameters (Å, degrees): 4.012 6.318 8.518 73.08 76.38 71.49
Element x y z (fractional)
Li (0.918, 0.412, 0.752)
Au (0.839, 0.825, 0.498)
Au (0.256, 0.735, 0.754)
Pd (0.666, 0.667, 0.002)
Au (0.744, 0.265, 0.246)
Pd (0.417, 0.917, 0.249)
Pd (0.583, 0.083, 0.751)
Pd (0.500, 0.500, 0.500)
Pd (0.334, 0.333, 0.998)
Li (0.082, 0.588, 0.248)
Au (0.000, 0.000, 0.000)
Au (0.161, 0.175, 0.502)

***

Result of the stability comparison: *1* is the most stable of them.

***

*1*
This record from the Alexandria database describes a relaxed Li2Pd5Au2 crystal. The functional is PBE.

As for the crystal system: orthorhombic. As for the space-group type: Ima2, No. 46. For the density of states at the Fermi level, the calculation gives 0.921 states/eV per atom.

Lattice parameters (Å, degrees): 7.133 5.143 8.992 106.62 113.37 90.00
Element x y z (fractional)
Li (0.638, 0.077, 0.500)
Au (0.787, 0.379, 0.870)
Pd (0.378, 0.192, 0.670)
Au (0.213, 0.508, 0.130)
Pd (0.033, 0.775, 0.500)
Au (0.583, 0.879, 0.870)
Pd (0.967, 0.275, 0.500)
Pd (0.791, 0.692, 0.670)
Li (0.500, 0.413, 0.000)
Pd (0.795, 0.832, 0.193)
Pd (0.102, 0.139, 0.807)
Pd (0.209, 0.022, 0.330)
Pd (0.205, 0.639, 0.807)
Au (0.417, 0.008, 0.130)
Pd (0.622, 0.522, 0.330)
Li (0.000, 0.913, 0.000)
Li (0.362, 0.577, 0.500)
Pd (0.898, 0.332, 0.193)

***

*2*
This record from the Alexandria database describes a relaxed Li2Pd5Au2 crystal. The functional is PBE.

As for the crystal system: triclinic. As for the space-group type: P-1, No. 2. For the density of states at the Fermi level, the calculation gives 0.851 states/eV per atom.

Lattice parameters (Å, degrees): 4.849 4.857 7.403 109.63 89.89 120.00
Element x y z (fractional)
Au (0.110, 0.873, 0.320)
Pd (0.777, 0.213, 0.327)
Pd (0.443, 0.546, 0.326)
Pd (0.000, 0.000, 0.000)
Li (0.661, 0.330, 0.999)
Pd (0.557, 0.454, 0.674)
Au (0.890, 0.127, 0.680)
Pd (0.223, 0.787, 0.673)
Li (0.339, 0.670, 0.001)

***

Result of the stability comparison: *2* is the most stable of them.

***

*1*
This record from the Alexandria database describes a relaxed Li5PdAu2 crystal. The functional is PBE.

As for the crystal system: orthorhombic. As for the space-group type: Cmcm, No. 63. For the density of states at the Fermi level, the calculation gives 0.196 states/eV per atom.

Lattice parameters (Å, degrees): 4.432 4.432 14.353 90.00 90.00 119.14
Element x y z (fractional)
Au (0.830, 0.170, 0.451)
Li (0.821, 0.179, 0.250)
Li (0.843, 0.157, 0.850)
Li (0.507, 0.493, 0.583)
Au (0.170, 0.830, 0.549)
Li (0.493, 0.507, 0.417)
Au (0.830, 0.170, 0.049)
Li (0.843, 0.157, 0.650)
Li (0.507, 0.493, 0.917)
Li (0.157, 0.843, 0.350)
Li (0.493, 0.507, 0.083)
Li (0.157, 0.843, 0.150)
Au (0.170, 0.830, 0.951)
Pd (0.485, 0.515, 0.250)
Li (0.179, 0.821, 0.750)
Pd (0.515, 0.485, 0.750)

***

*2*
This record from the Alexandria database describes a relaxed Li5PdAu2 crystal. The functional is PBE.

As for the crystal system: tetragonal. As for the space-group type: I4/mmm, No. 139. For the density of states at the Fermi level, the calculation gives 0.250 states/eV per atom.

Lattice parameters (Å, degrees): 4.523 4.523 6.702 109.72 109.72 90.00
Element x y z (fractional)
Li (0.629, 0.129, 0.258)
Pd (0.000, 0.000, 0.000)
Li (0.129, 0.629, 0.258)
Li (0.871, 0.371, 0.742)
Au (0.752, 0.752, 0.504)
Li (0.371, 0.871, 0.742)
Au (0.248, 0.248, 0.496)
Li (0.500, 0.500, 0.000)

***

Result of the stability comparison: *2* is the most stable of them.